ZnCoNi2: optimized geometry, GGA-PBE.

```
data_ZnCoNi2
_space_group_name_H-M_alt 'P 1'
_space_group_IT_number 1
_cell_length_a 4.358
_cell_length_b 4.358
_cell_length_c 4.358
_cell_angle_alpha 131.12
_cell_angle_beta 131.12
_cell_angle_gamma 71.63
loop_
_space_group_symop_operation_xyz
'x,y,z'
loop_
_atom_site_label
_atom_site_type_symbol
_atom_site_fract_x
_atom_site_fract_y
_atom_site_fract_z
Co1 Co 0.750 0.250 0.500
Ni1 Ni 0.000 0.000 0.000
Ni2 Ni 0.250 0.750 0.500
Zn1 Zn 0.500 0.500 0.000
```

The calculation puts the energy of formation at -37 meV/atom. As for the space group: I-4m2. As for the density of states at the Fermi level: 1.128 states/eV per atom. As for the magnetic moment: 0.59 μB/atom. The value obtained for the calculated total energy is -5.02 eV/atom.


ZnCo2Ni7: optimized geometry, GGA-PBE.

```
data_ZnCo2Ni7
_space_group_name_H-M_alt 'P 1'
_space_group_IT_number 1
_cell_length_a 3.810
_cell_length_b 6.686
_cell_length_c 6.686
_cell_angle_alpha 123.48
_cell_angle_beta 90.00
_cell_angle_gamma 90.00
loop_
_space_group_symop_operation_xyz
'x,y,z'
loop_
_atom_site_label
_atom_site_type_symbol
_atom_site_fract_x
_atom_site_fract_y
_atom_site_fract_z
Ni1 Ni 0.000 0.799 0.201
Ni2 Ni 0.500 0.293 0.079
Ni3 Ni 0.000 0.201 0.799
Ni4 Ni 0.500 0.080 0.293
Ni5 Ni 0.500 0.500 0.500
Ni6 Ni 0.500 0.920 0.707
Ni7 Ni 0.500 0.707 0.921
Co1 Co 0.500 0.299 0.701
Co2 Co 0.500 0.701 0.299
Zn1 Zn 0.000 0.000 0.000
```

The calculation puts the energy of formation at 566 meV/atom. As for the space group: Cmmm. As for the density of states at the Fermi level: 1.456 states/eV per atom. As for the magnetic moment: 0.75 μB/atom. The value obtained for the calculated total energy is -5.03 eV/atom.


ZnCoNi2: optimized geometry, GGA-PBE.

```
data_ZnCoNi2
_space_group_name_H-M_alt 'P 1'
_space_group_IT_number 1
_cell_length_a 4.347
_cell_length_b 4.347
_cell_length_c 4.429
_cell_angle_alpha 81.06
_cell_angle_beta 81.06
_cell_angle_gamma 33.79
loop_
_space_group_symop_operation_xyz
'x,y,z'
loop_
_atom_site_label
_atom_site_type_symbol
_atom_site_fract_x
_atom_site_fract_y
_atom_site_fract_z
Zn1 Zn 0.250 0.250 0.250
Ni1 Ni 0.498 0.498 0.509
Ni2 Ni 0.002 0.002 0.991
Co1 Co 0.750 0.750 0.750
```

The calculation puts the energy of formation at -38 meV/atom. As for the space group: C2/m. As for the density of states at the Fermi level: 1.113 states/eV per atom. As for the magnetic moment: 0.57 μB/atom. The value obtained for the calculated total energy is -5.02 eV/atom.


Zn3CoNi4: optimized geometry, GGA-PBE.

```
data_Zn3CoNi4
_space_group_name_H-M_alt 'P 1'
_space_group_IT_number 1
_cell_length_a 2.640
_cell_length_b 2.640
_cell_length_c 13.554
_cell_angle_alpha 90.00
_cell_angle_beta 90.00
_cell_angle_gamma 90.00
loop_
_space_group_symop_operation_xyz
'x,y,z'
loop_
_atom_site_label
_atom_site_type_symbol
_atom_site_fract_x
_atom_site_fract_y
_atom_site_fract_z
Co1 Co 0.500 0.500 0.000
Ni1 Ni 0.000 0.000 0.119
Ni2 Ni 0.000 0.000 0.374
Ni3 Ni 0.000 0.000 0.626
Ni4 Ni 0.000 0.000 0.881
Zn1 Zn 0.500 0.500 0.248
Zn2 Zn 0.500 0.500 0.752
Zn3 Zn 0.500 0.500 0.500
```

The calculation puts the energy of formation at -161 meV/atom. As for the space group: P4/mmm. As for the density of states at the Fermi level: 0.579 states/eV per atom. As for the magnetic moment: 0.32 μB/atom. The value obtained for the calculated total energy is -4.42 eV/atom.


Zn3CoNi: optimized geometry, GGA-PBE.

```
data_Zn3CoNi
_space_group_name_H-M_alt 'P 1'
_space_group_IT_number 1
_cell_length_a 4.443
_cell_length_b 4.443
_cell_length_c 4.443
_cell_angle_alpha 90.00
_cell_angle_beta 90.00
_cell_angle_gamma 90.00
loop_
_space_group_symop_operation_xyz
'x,y,z'
loop_
_atom_site_label
_atom_site_type_symbol
_atom_site_fract_x
_atom_site_fract_y
_atom_site_fract_z
Zn1 Zn 0.500 0.000 0.000
Zn2 Zn 0.000 0.000 0.500
Zn3 Zn 0.000 0.500 0.000
Co1 Co 0.500 0.500 0.500
Ni1 Ni 0.000 0.000 0.000
```

The calculation puts the energy of formation at 667 meV/atom. As for the space group: Pm-3m. The energy above the most stable polymorph in this dataset comes out at 0.0 meV per atom. As for the density of states at the Fermi level: 1.169 states/eV per atom. As for the magnetic moment: 0.37 μB/atom. The value obtained for the calculated total energy is -2.67 eV/atom.


Zn2CoNi2: optimized geometry, GGA-PBE.

```
data_Zn2CoNi2
_space_group_name_H-M_alt 'P 1'
_space_group_IT_number 1
_cell_length_a 6.861
_cell_length_b 6.861
_cell_length_c 2.652
_cell_angle_alpha 90.00
_cell_angle_beta 90.00
_cell_angle_gamma 90.00
loop_
_space_group_symop_operation_xyz
'x,y,z'
loop_
_atom_site_label
_atom_site_type_symbol
_atom_site_fract_x
_atom_site_fract_y
_atom_site_fract_z
Zn1 Zn 0.866 0.634 0.000
Zn2 Zn 0.134 0.366 0.000
Zn3 Zn 0.634 0.134 0.000
Zn4 Zn 0.366 0.866 0.000
Co1 Co 0.000 0.000 0.000
Co2 Co 0.500 0.500 0.000
Ni1 Ni 0.834 0.334 0.500
Ni2 Ni 0.666 0.834 0.500
Ni3 Ni 0.334 0.166 0.500
Ni4 Ni 0.166 0.666 0.500
```

The calculation puts the energy of formation at 78 meV/atom. As for the space group: P4/mbm. The energy above the most stable polymorph in this dataset comes out at 0.7 meV per atom. As for the density of states at the Fermi level: 0.667 states/eV per atom. As for the magnetic moment: 0.37 μB/atom. The value obtained for the calculated total energy is -4.17 eV/atom.